(1)
The following is a DFT calculation (GGA-PBE) of a geometry-optimized BaMgZn2Pt2 structure.

Its total energy is -0.13569 hartree per atom. The volume is 130.6 Å³ per cell.

It has space group P-3m1 (No. 164), with a = 4.4448 Å, b = 4.4448 Å, c = 7.6305 Å, α = 90.00°, β = 90.00° and γ = 120.00°. The inequivalent atoms are Ba at (0.0000, 0.0000, 0.0000), Mg at (0.0000, 0.0000, 0.5000), Zn at (0.3333, 0.6667, 0.3298) and Pt at (0.3333, 0.6667, 0.6852).

***

(2)
The following is a DFT calculation (GGA-PBE) of a geometry-optimized Ba2MgZrPt structure.

Its total energy is -0.11236 hartree per atom. The volume is 202.3 Å³ per cell.

It has space group P4/mmm (No. 123), with a = 6.184 Å, b = 6.184 Å, c = 5.290 Å, α = 90.00°, β = 90.00° and γ = 90.00°. The inequivalent atoms are Ba at (0.000, 0.500, 0.000), Mg at (0.000, 0.000, 0.000), Zr at (0.000, 0.000, 0.500) and Pt at (0.500, 0.500, 0.500).

***

(3)
The following is a DFT calculation (GGA-PBE) of a geometry-optimized BaPuMg4 structure.

Its total energy is -0.13484 hartree per atom. The volume is 720.1 Å³ per cell.

It has space group F-43m (No. 216), with a = 8.963 Å, b = 8.963 Å, c = 8.963 Å, α = 90.00°, β = 90.00° and γ = 90.00°. The inequivalent atoms are Ba at (0.000, 0.000, 0.000), Pu at (0.250, 0.250, 0.750) and Mg at (0.124, 0.124, 0.376).